The following is a DFT calculation (GGA-PBE) of a geometry-optimized PrTeH structure.

Cell: 6.007 6.007 7.742 Å, 90.00 90.00 79.84°
Sites, in units of the cell vectors:
Pr  0.164  0.836  0.833
Pr  0.336  0.664  0.333
Pr  0.664  0.336  0.667
Pr  0.836  0.164  0.167
Te  0.192  0.192  0.500
Te  0.308  0.308  0.000
Te  0.692  0.692  0.000
Te  0.808  0.808  0.500
H  0.130  0.870  0.126
H  0.370  0.630  0.626
H  0.630  0.370  0.374
H  0.870  0.130  0.874

---

The following is a DFT calculation (GGA-PBE) of a geometry-optimized Ce3GeSb3 structure.

Cell: 8.146 8.146 8.146 Å, 67.61 67.61 67.61°
Sites, in units of the cell vectors:
Ce  0.021  0.732  0.467
Ce  0.268  0.533  0.979
Ce  0.467  0.021  0.732
Ce  0.533  0.979  0.268
Ce  0.732  0.467  0.021
Ce  0.979  0.268  0.533
Ge  0.344  0.344  0.344
Ge  0.656  0.656  0.656
Sb  0.138  0.366  0.777
Sb  0.223  0.862  0.634
Sb  0.366  0.777  0.138
Sb  0.634  0.223  0.862
Sb  0.777  0.138  0.366
Sb  0.862  0.634  0.223

---

The following is a DFT calculation (GGA-PBE) of a geometry-optimized SmErTl2S4 structure.

Cell: 7.036 4.060 7.873 Å, 90.00 107.31 90.00°
Sites, in units of the cell vectors:
Sm  0.000  0.000  0.000
Er  0.500  0.500  0.000
Tl  0.000  0.500  0.500
Tl  0.500  0.000  0.500
S  0.241  0.500  0.200
S  0.274  0.000  0.803
S  0.726  0.000  0.197
S  0.759  0.500  0.800

---

The following is a DFT calculation (GGA-PBE) of a geometry-optimized ErTmMg4 structure.

**Excess energy over the best structure of this formula in the dataset**: 0 meV per atom

Cell: 5.998 5.998 5.998 Å, 60.00 60.00 60.00°
Sites, in units of the cell vectors:
Er  0.000  0.000  0.000
Tm  0.750  0.750  0.750
Mg  0.375  0.375  0.375
Mg  0.375  0.375  0.875
Mg  0.375  0.875  0.375
Mg  0.875  0.375  0.375

---

The following is a DFT calculation (GGA-PBE) of a geometry-optimized Tb2PrMoN4 structure.

Cell: 6.204 6.204 11.937 Å, 90.00 90.00 147.59°
Sites, in units of the cell vectors:
Tb  0.130  0.870  0.540
Tb  0.130  0.870  0.960
Tb  0.870  0.130  0.040
Tb  0.870  0.130  0.460
Pr  0.407  0.593  0.750
Pr  0.593  0.407  0.250
Mo  0.334  0.666  0.250
Mo  0.666  0.334  0.750
N  0.066  0.934  0.750
N  0.237  0.763  0.123
N  0.237  0.763  0.377
N  0.500  0.500  0.000
N  0.500  0.500  0.500
N  0.763  0.237  0.623
N  0.763  0.237  0.877
N  0.934  0.066  0.250

---

The following is a DFT calculation (GGA-PBE) of a geometry-optimized AgBiPd3 structure.

**Excess energy over the best structure of this formula in the dataset**: 847 meV per atom

Cell: 5.053 5.053 5.053 Å, 90.00 90.00 90.00°
Sites, in units of the cell vectors:
Ag  0.000  0.000  0.000
Bi  0.500  0.500  0.500
Pd  0.000  0.500  0.500
Pd  0.500  0.000  0.500
Pd  0.500  0.500  0.000

---

Calculated theoretical density in order - 6.51, 6.42, 6.61, 4.72, 8.24, 8.19 g/cm3
Calculated electronic total energy in order - -58.10, -78.67, -42.33, -15.73, -134.20, -18.97 eV for the cell shown